1.
A plane-wave DFT calculation with GGA-PBE was carried out for KTl2In2Pb after structural relaxation.

Energy relative to the elements = -0.005 eV/atom

Cell lengths 6.9097, 9.7946, 5.4895 Å; angles 90.00, 90.00, 90.00 degrees
Closest atoms and distances in Å follow each position.
Space group Pnnm (No. 58)
Asymmetric unit:
K: 0.0000 0.0000 0.0000 (multiplicity 2)  2 Pb 3.45, 6 Tl 3.62-3.70, 6 In 3.67-3.69
Tl: 0.2462 0.1675 0.5000 (multiplicity 4)  4 In 3.22-3.30
In: 0.2238 0.3394 0.0000 (multiplicity 4)  4 Tl 3.22-3.30, 2 Pb 3.52
Pb: 0.0000 0.5000 0.5000 (multiplicity 2)  2 K 3.45, 6 In 3.52-3.83, 6 Tl 3.65-3.67

---

2.
A plane-wave DFT calculation with GGA-PBE was carried out for KTlIn2Pb after structural relaxation.

Energy relative to the elements = -0.070 eV/atom

Cell lengths 6.2871, 5.4520, 9.8808 Å; angles 90.00, 105.57, 90.00 degrees
Closest atoms and distances in Å follow each position.
Space group P2_1/m (No. 11)
Asymmetric unit:
K: 0.2271 0.2500 0.0151 (multiplicity 2)  4 In 3.65-3.74, 4 Tl 3.67-3.90, 2 K 3.90
Tl: 0.2009 0.7500 0.7630 (multiplicity 2)  3 Pb 3.37-3.40, 4 In 3.40-3.60, 3 K 3.67-3.68
In: 0.3834 0.2500 0.4055 (multiplicity 2)  5 In 3.16-3.41, 3 Pb 3.40-3.48, 1 Tl 3.46
In: 0.4901 0.7500 0.2630 (multiplicity 2)  3 In 3.16-3.22, 2 Pb 3.39-3.49, 2 Tl 3.40
Pb: 0.0613 0.7500 0.4095 (multiplicity 2)  3 Tl 3.37-3.40, 6 In 3.39-3.73, 2 Pb 3.46

---

3.
A plane-wave DFT calculation with GGA-PBE was carried out for KTlInPb after structural relaxation.

Excess energy over the best structure of this formula in the dataset = 0.042 eV per atom
Energy relative to the elements = -0.043 eV/atom

Cell lengths 8.0183, 8.0183, 8.0183 Å; angles 90.00, 90.00, 90.00 degrees
Closest atoms and distances in Å follow each position.
Space group F-43m (No. 216)
Asymmetric unit:
K: 0.0000 0.0000 0.0000 (multiplicity 4)  4 Tl 3.47, 4 In 3.47
Tl: 0.2500 0.2500 0.7500 (multiplicity 4)  4 Pb 3.47, 4 K 3.47
In: 0.2500 0.2500 0.2500 (multiplicity 4)  4 Pb 3.47, 4 K 3.47
Pb: 0.0000 0.0000 0.5000 (multiplicity 4)  4 In 3.47, 4 Tl 3.47

---

4.
A plane-wave DFT calculation with GGA-PBE was carried out for K2TlIn3Pb4 after structural relaxation.

Energy relative to the elements = -0.080 eV/atom

Cell lengths 5.3108, 5.3108, 12.5232 Å; angles 90.00, 90.00, 90.00 degrees
Closest atoms and distances in Å follow each position.
Space group P-4m2 (No. 115)
Asymmetric unit:
K: 0.0000 0.5000 0.2503 (multiplicity 2)  8 Pb 4.03-4.11, 6 In 4.05-4.10, 2 Tl 4.10
Tl: 0.0000 0.0000 0.5000 (multiplicity 1)  4 Pb 3.13
In: 0.0000 0.5000 0.8700 (multiplicity 2)  5 Pb 2.97-3.11
In: 0.5000 0.5000 0.5000 (multiplicity 1)  4 Pb 3.13
Pb: 0.0000 0.0000 0.0000 (multiplicity 1)  4 In 3.11
Pb: 0.0000 0.5000 0.6328 (multiplicity 2)  3 In 2.97-3.13, 2 Tl 3.13
Pb: 0.5000 0.5000 0.0000 (multiplicity 1)  4 In 3.11

---

5.
A plane-wave DFT calculation with GGA-PBE was carried out for KIn6Pd3 after structural relaxation.

Energy relative to the elements = -0.329 eV/atom

Cell lengths 10.1725, 4.5409, 10.9024 Å; angles 90.00, 98.37, 90.00 degrees
Closest atoms and distances in Å follow each position.
Space group P2_1/m (No. 11)
Asymmetric unit:
K: 0.2077 0.2500 0.0714 (multiplicity 2)  3 In 3.38-3.53, 2 Pd 3.61
In: 0.0767 0.7500 0.8024 (multiplicity 2)  3 Pd 2.77, 2 In 3.09
In: 0.1043 0.2500 0.4617 (multiplicity 2)  4 Pd 2.79-2.89, 1 In 3.05
In: 0.2540 0.2500 0.7254 (multiplicity 2)  4 Pd 2.83-2.85, 4 In 3.05-3.09
In: 0.3081 0.7500 0.3557 (multiplicity 2)  3 Pd 2.82-2.87
In: 0.4547 0.7500 0.6589 (multiplicity 2)  4 Pd 2.67-2.82
In: 0.4766 0.7500 0.1080 (multiplicity 2)  3 Pd 2.73-2.86, 1 In 3.06
Pd: 0.0275 0.7500 0.3206 (multiplicity 2)  7 In 2.77-2.89
Pd: 0.3498 0.7500 0.8692 (multiplicity 2)  7 In 2.67-2.86
Pd: 0.3809 0.2500 0.5112 (multiplicity 2)  7 In 2.67-2.87

---

6.
A plane-wave DFT calculation with GGA-PBE was carried out for K2In9Pd3 after structural relaxation.

Energy relative to the elements = -0.272 eV/atom

Cell lengths 14.6530, 8.4006, 11.9053 Å; angles 90.00, 114.46, 90.00 degrees
Closest atoms and distances in Å follow each position.
Space group C2/c (No. 15)
Asymmetric unit:
K: 0.1688 0.0826 0.2491 (multiplicity 8)  11 In 3.37-3.49
In: 0.0000 0.3601 0.2500 (multiplicity 4)  2 Pd 2.87, 4 In 3.16-3.19
In: 0.0598 0.0789 0.9270 (multiplicity 8)  3 Pd 2.87-2.95, 4 In 3.15-3.18
In: 0.1033 0.4136 0.0576 (multiplicity 8)  3 Pd 2.86-2.90, 3 In 3.12-3.15
In: 0.1084 0.3107 0.7482 (multiplicity 8)  2 Pd 2.86-2.90, 5 In 3.15-3.19
In: 0.2271 0.4161 0.4311 (multiplicity 8)  3 Pd 2.89-2.92, 5 In 3.14-3.18
Pd: 0.0840 0.2486 0.5008 (multiplicity 8)  8 In 2.86-2.95
Pd: 0.2500 0.2500 0.0000 (multiplicity 4)  8 In 2.86-2.93

---

7.
A plane-wave DFT calculation with GGA-PBE was carried out for K2In3Pd2 after structural relaxation.

Energy relative to the elements = -0.317 eV/atom

Cell lengths 12.2667, 4.5043, 8.2231 Å; angles 90.00, 121.29, 90.00 degrees
Closest atoms and distances in Å follow each position.
Space group C2/m (No. 12)
Asymmetric unit:
K: 0.1447 0.0000 0.2776 (multiplicity 4)  1 Pd 3.25, 2 In 3.59
In: 0.0000 0.5000 0.5000 (multiplicity 2)  4 Pd 2.74
In: 0.1493 0.5000 0.9408 (multiplicity 4)  3 Pd 2.82-2.83, 3 In 3.10
Pd: 0.1157 0.0000 0.7099 (multiplicity 4)  5 In 2.74-2.83

---

8.
A plane-wave DFT calculation with GGA-PBE was carried out for KIn3Pd after structural relaxation.

Excess energy over the best structure of this formula in the dataset = 1.415 eV per atom
Energy relative to the elements = 1.176 eV/atom

Cell lengths 5.9160, 5.9160, 5.9160 Å; angles 90.00, 90.00, 90.00 degrees
Closest atoms and distances in Å follow each position.
Space group Pm-3m (No. 221)
Asymmetric unit:
K: 0.0000 0.0000 0.0000 (multiplicity 1)  6 In 2.96
In: 0.0000 0.0000 0.5000 (multiplicity 3)  2 K 2.96
Pd: 0.5000 0.5000 0.5000 (multiplicity 1)  12 In 4.18

---

9.
A plane-wave DFT calculation with GGA-PBE was carried out for KIn6Pd2 after structural relaxation.

Energy relative to the elements = -0.027 eV/atom

Cell lengths 13.2718, 13.2718, 13.2718 Å; angles 90.00, 90.00, 90.00 degrees
Closest atoms and distances in Å follow each position.
Space group Fd-3m (No. 227, origin choice 2)
Asymmetric unit:
K: 0.1250 0.1250 0.1250 (multiplicity 8)  6 In 3.69
In: 0.0972 0.3750 0.8750 (multiplicity 48)  2 Pd 2.68
Pd: 0.0000 0.0000 0.5000 (multiplicity 16)  6 In 2.68

---

10.
A plane-wave DFT calculation with GGA-PBE was carried out for KIn3Pd after structural relaxation.

Excess energy over the best structure of this formula in the dataset = 0.000 eV per atom
Energy relative to the elements = -0.239 eV/atom

Cell lengths 9.3491, 6.2644, 10.1423 Å; angles 90.00, 110.75, 90.00 degrees
Closest atoms and distances in Å follow each position.
Space group P2_1/c (No. 14)
Asymmetric unit:
K: 0.1018 0.0493 0.2030 (multiplicity 4)  6 In 3.42-3.79, 1 Pd 3.67
In: 0.1755 0.5510 0.0690 (multiplicity 4)  1 Pd 2.79, 1 In 3.11
In: 0.3116 0.5742 0.4152 (multiplicity 4)  2 Pd 2.76-2.88
In: 0.4807 0.1709 0.2923 (multiplicity 4)  3 Pd 2.66-2.78
Pd: 0.4140 0.1793 0.5323 (multiplicity 4)  6 In 2.66-2.88, 1 Pd 2.97

---

11.
A plane-wave DFT calculation with GGA-PBE was carried out for K2In5Pd3 after structural relaxation.

Energy relative to the elements = -0.271 eV/atom

Cell lengths 4.7650, 27.2148, 7.4759 Å; angles 90.00, 90.00, 90.00 degrees
Closest atoms and distances in Å follow each position.
Space group Cmc2_1 (No. 36)
Asymmetric unit:
K: 0.0000 0.0216 0.0000 (multiplicity 4)  3 Pd 3.05-3.33, 2 In 3.38
K: 0.0000 0.3251 0.9639 (multiplicity 4)  4 Pd 3.36-3.58, 9 In 3.37-3.53
In: 0.0000 0.1006 0.6328 (multiplicity 4)  3 Pd 2.77-2.83
In: 0.0000 0.2073 0.1615 (multiplicity 4)  4 Pd 2.77-2.89, 1 In 3.04
In: 0.0000 0.2100 0.7553 (multiplicity 4)  3 Pd 2.82-2.85, 2 In 3.04-3.11
In: 0.0000 0.3750 0.4896 (multiplicity 4)  2 Pd 2.78-2.86
In: 0.0000 0.4468 0.8315 (multiplicity 4)  4 Pd 2.84-3.03
Pd: 0.0000 0.1089 0.2558 (multiplicity 4)  4 In 2.77-2.88, 1 K 3.05
Pd: 0.0000 0.2732 0.4556 (multiplicity 4)  7 In 2.78-2.89
Pd: 0.0000 0.4468 0.2108 (multiplicity 4)  5 In 2.77-3.03

---

12.
A plane-wave DFT calculation with GGA-PBE was carried out for K3InPd after structural relaxation.

Excess energy over the best structure of this formula in the dataset = 0.000 eV per atom
Energy relative to the elements = 0.228 eV/atom

Cell lengths 6.1445, 6.1445, 6.1445 Å; angles 90.00, 90.00, 90.00 degrees
Closest atoms and distances in Å follow each position.
Space group Pm-3m (No. 221)
Asymmetric unit:
K: 0.0000 0.0000 0.5000 (multiplicity 3)  2 Pd 3.07
In: 0.5000 0.5000 0.5000 (multiplicity 1)  12 K 4.34
Pd: 0.0000 0.0000 0.0000 (multiplicity 1)  6 K 3.07